Compound: SrMgTc2
Source: the Alexandria database
Functional: PBE-GGA
Structure: relaxed

Cell lengths 2.791, 2.791, 9.715 Å; angles 90.00, 90.00, 99.08 degrees
Sites, in units of the cell vectors:
Mg (0.500, 0.500, 0.250)
Sr (0.500, 0.500, 0.750)
Tc (0.000, 0.000, 0.026)
Tc (0.000, 0.000, 0.474)

Calculated values
total magnetization: 0.00 μB/f.u.
energy of formation: 0.7764 eV/atom